(1)
VASP calculation (PBE) on a relaxed SrZnPd2 crystal.

The space group is I-42d (No. 122) and the conventional cell measures 4.938, 4.938 and 17.000 Å, with angles of 90.00, 90.00 and 90.00 degrees. The inequivalent atoms are Sr at (0.000, 0.000, 0.000), Zn at (0.000, 0.000, 0.500) and Pd at (0.076, 0.250, 0.625).

The density of states at the Fermi level comes out at 5.4 states/eV/cell. The value obtained for the formation energy is -0.3275 eV/atom. For the calculated total energy, the calculation gives -3.663 eV per atom. The total magnetization comes out at 0.00 μB per atom.


(2)
VASP calculation (PBE) on a relaxed Sr2Zn9Pd6 crystal.

The space group is P6/mmm (No. 191) and the conventional cell measures 5.6099, 5.6099 and 12.2371 Å, with angles of 90.00, 90.00 and 120.00 degrees. The inequivalent atoms are Sr at (0.0000, 0.0000, 0.1760), Zn at (0.0000, 0.5000, 0.0000), Zn at (0.0000, 0.5000, 0.3385), Pd at (0.3333, 0.6667, 0.1704) and Pd at (0.3333, 0.6667, 0.5000).

The density of states at the Fermi level comes out at 6.8 states/eV/cell. The value obtained for the formation energy is -0.4305 eV/atom. For the calculated total energy, the calculation gives -3.136 eV per atom. The total magnetization comes out at 0.00 μB per atom.


(3)
VASP calculation (PBE) on a relaxed Sr6ZnPd2 crystal.

The space group is P-31m (No. 162) and the conventional cell measures 7.6620, 7.6620 and 7.2519 Å, with angles of 90.00, 90.00 and 120.00 degrees. The inequivalent atoms are Sr at (0.0000, 0.3429, 0.2380), Zn at (0.0000, 0.0000, 0.5000) and Pd at (0.3333, 0.6667, 0.0000).

The density of states at the Fermi level comes out at 3.9 states/eV/cell. The value obtained for the formation energy is -0.3269 eV/atom. For the calculated total energy, the calculation gives -2.744 eV per atom. The total magnetization comes out at 0.00 μB per atom.


(4)
VASP calculation (PBE) on a relaxed SrZn2Pd2 crystal.

The space group is P4/mbm (No. 127) and the conventional cell measures 7.757, 7.757 and 3.026 Å, with angles of 90.00, 90.00 and 90.00 degrees. The inequivalent atoms are Sr at (0.000, 0.000, 0.000), Zn at (0.117, 0.383, 0.000) and Pd at (0.176, 0.676, 0.500).

The density of states at the Fermi level comes out at 4.1 states/eV/cell. The value obtained for the formation energy is -0.4396 eV/atom. For the calculated total energy, the calculation gives -3.363 eV per atom. The total magnetization comes out at 0.00 μB per atom.


> Among the records above, which one has the highest calculated total energy?

Sr6ZnPd2


> Among the records above, which one has the lowest calculated total energy?

SrZnPd2


> What is the calculated total energy in the second record?

-3.136 eV per atom